DFT (PBE) results for a relaxed structure of HfRePOs.

Size of the total moment in μB/atom: 0.00
DFT total energy in eV per atom: -9.970
Energy relative to the lowest polymorph listed for this composition in eV/f.u.: 0.624
Energy of formation in eV per atom: -0.210

Cell lengths 3.0396, 4.7120, 5.1229 Å; angles 64.64, 75.72, 79.43 degrees
Positions (direct):
1 Hf 0.5553 0.2464 0.3336
2 Re 0.2781 0.6108 0.7511
3 P 0.8968 0.1823 0.8100
4 Os 0.9952 0.7522 0.2526